1.
Nd3AgGe | PBE | optimized geometry

The structure in CIF format:
```
data_Nd3AgGe
_chemical_formula_sum 'Nd6 Ag2 Ge2'
_space_group_name_H-M_alt 'P -1'
_space_group_IT_number 2
_cell_length_a 4.300
_cell_length_b 7.358
_cell_length_c 9.349
_cell_angle_alpha 90.35
_cell_angle_beta 90.26
_cell_angle_gamma 106.70
loop_
_space_group_symop_operation_xyz
'x,y,z'
'-x,-y,-z'
loop_
_atom_site_label
_atom_site_type_symbol
_atom_site_fract_x
_atom_site_fract_y
_atom_site_fract_z
Nd1 Nd 0.046 0.096 0.337
Nd2 Nd 0.244 0.488 0.676
Nd3 Nd 0.403 0.816 0.110
Ag1 Ag 0.194 0.381 0.075
Ge1 Ge 0.392 0.785 0.432
```

Summary:
Density: 7.188 g cm⁻³
E: -4.73 eV per atom
DFT formation energy: -0.3733 eV per atom


2.
NdAgGe4 | PBE | optimized geometry

The structure in CIF format:
```
data_NdAgGe4
_chemical_formula_sum 'Nd4 Ag4 Ge16'
_space_group_name_H-M_alt 'F -4 3 m'
_space_group_IT_number 216
_space_group_name_Hall 'F -4 2 3'
_cell_length_a 7.947
_cell_length_b 7.947
_cell_length_c 7.947
_cell_angle_alpha 90.00
_cell_angle_beta 90.00
_cell_angle_gamma 90.00
loop_
_atom_site_label
_atom_site_type_symbol
_atom_site_fract_x
_atom_site_fract_y
_atom_site_fract_z
Nd1 Nd 0.000 0.000 0.000
Ag1 Ag 0.250 0.250 0.250
Ge1 Ge 0.124 0.124 0.624
```

Summary:
Density: 7.181 g cm⁻³
E: -4.48 eV per atom
DFT formation energy: -0.1359 eV per atom


3.
NdAgGe | PBE | optimized geometry

The structure in CIF format:
```
data_NdAgGe
_chemical_formula_sum 'Nd4 Ag4 Ge4'
_space_group_name_H-M_alt 'F -4 3 m'
_space_group_IT_number 216
_space_group_name_Hall 'F -4 2 3'
_cell_length_a 6.724
_cell_length_b 6.724
_cell_length_c 6.724
_cell_angle_alpha 90.00
_cell_angle_beta 90.00
_cell_angle_gamma 90.00
loop_
_atom_site_label
_atom_site_type_symbol
_atom_site_fract_x
_atom_site_fract_y
_atom_site_fract_z
Nd1 Nd 0.000 0.000 0.000
Ag1 Ag 0.000 0.000 0.500
Ge1 Ge 0.250 0.250 0.750
```

Summary:
Density: 7.095 g cm⁻³
E: -4.57 eV per atom
DFT formation energy: -0.4862 eV per atom